1.
Al4Ni11, relaxed, DFT PBE; symmetry = P4_2/mnm; energy above the lowest structure with this stoichiometry = 72 meV per atom
1.0
8.510 0.000 0.000
0.000 8.510 0.000
0.000 0.000 4.798
Al Ni
8 22
Direct
0.182 0.182 0.250
0.182 0.182 0.750
0.318 0.682 0.250
0.318 0.682 0.750
0.682 0.318 0.250
0.682 0.318 0.750
0.818 0.818 0.250
0.818 0.818 0.750
0.000 0.000 0.000
0.039 0.635 0.500
0.067 0.732 0.000
0.098 0.902 0.500
0.135 0.461 0.000
0.232 0.433 0.500
0.268 0.933 0.000
0.365 0.961 0.500
0.402 0.402 0.000
0.433 0.232 0.500
0.461 0.135 0.000
0.500 0.500 0.500
0.539 0.865 0.000
0.567 0.768 0.500
0.598 0.598 0.000
0.635 0.039 0.500
0.732 0.067 0.000
0.768 0.567 0.500
0.865 0.539 0.000
0.902 0.098 0.500
0.933 0.268 0.000
0.961 0.365 0.500

2.
Nd2RePt6, relaxed, DFT PBE; symmetry = P4/mmm; calculated formation energy = -85 kJ/mol of formula units; energy above the lowest structure with this stoichiometry = 232 meV per atom
1.0
3.977 0.000 0.000
0.000 3.977 0.000
0.000 0.000 13.096
Nd Re Pt
2 1 6
Direct
0.000 0.000 0.197
0.000 0.000 0.803
0.500 0.500 0.500
0.000 0.000 0.000
0.000 0.000 0.500
0.000 0.500 0.356
0.000 0.500 0.644
0.500 0.000 0.356
0.500 0.000 0.644

3.
FeSnIrW, relaxed, DFT PBE; symmetry = F-43m; energy above the lowest structure with this stoichiometry = 138 meV per atom
1.0
0.000 3.160 3.160
3.160 0.000 3.160
3.160 3.160 0.000
Fe Sn Ir W
1 1 1 1
Direct
0.000 0.000 0.000
0.750 0.750 0.750
0.250 0.250 0.250
0.500 0.500 0.500

4.
Tm2Al2Pd3Au, relaxed, DFT PBE; symmetry = P3m1; raw total energy = -5.324 eV/atom
1.0
4.373 0.000 0.000
-2.186 3.787 0.000
0.000 0.000 9.044
Tm Al Pd Au
2 2 3 1
Direct
0.000 0.000 0.000
0.333 0.667 0.493
0.667 0.333 0.245
0.667 0.333 0.761
0.000 0.000 0.328
0.333 0.667 0.166
0.333 0.667 0.831
0.000 0.000 0.661

5.
Ta5Al8, relaxed, DFT PBE; symmetry = R-3m; energy above the lowest structure with this stoichiometry = 124 meV per atom
1.0
2.539 1.466 9.794
-2.539 1.466 9.794
0.000 -2.931 9.794
Ta Al
5 8
Direct
0.000 0.000 0.000
0.357 0.357 0.357
0.456 0.456 0.456
0.544 0.544 0.544
0.643 0.643 0.643
0.090 0.090 0.589
0.090 0.589 0.090
0.164 0.164 0.164
0.411 0.910 0.910
0.589 0.090 0.090
0.836 0.836 0.836
0.910 0.411 0.910
0.910 0.910 0.411

6.
Hf5Cu2, relaxed, DFT PBE; symmetry = R3m; calculated formation energy = 17 kJ/mol of formula units
1.0
2.385 1.377 6.772
-2.385 1.377 6.772
0.000 -2.753 6.772
Hf Cu
5 2
Direct
0.000 0.000 0.000
0.152 0.152 0.152
0.420 0.420 0.420
0.576 0.576 0.576
0.733 0.733 0.733
0.289 0.289 0.289
0.864 0.864 0.864

7.
LiMgBeZn, relaxed, DFT PBE; symmetry = F-43m; energy above the lowest structure with this stoichiometry = 0 meV per atom
1.0
0.000 3.004 3.004
3.004 0.000 3.004
3.004 3.004 0.000
Li Mg Be Zn
1 1 1 1
Direct
0.000 0.000 0.000
0.750 0.750 0.750
0.500 0.500 0.500
0.250 0.250 0.250

8.
GdErZn6, relaxed, DFT PBE; symmetry = Pmm2; calculated formation energy = -225 kJ/mol of formula units
1.0
4.673 0.000 0.000
0.000 6.585 0.000
0.000 0.000 4.672
Gd Er Zn
1 1 6
Direct
0.000 0.000 0.000
0.500 0.500 0.494
0.000 0.255 0.501
0.000 0.500 0.999
0.000 0.745 0.501
0.500 0.000 0.496
0.500 0.255 0.993
0.500 0.745 0.993

9.
Er2ThCo2, relaxed, DFT PBE; symmetry = C2/c; calculated formation energy = -132 kJ/mol of formula units
1.0
5.275 -2.984 0.000
5.275 2.984 0.000
-1.320 0.000 6.964
Er Th Co
4 2 4
Direct
0.051 0.263 0.153
0.263 0.051 0.653
0.737 0.949 0.347
0.949 0.737 0.847
0.411 0.589 0.250
0.589 0.411 0.750
0.188 0.500 0.491
0.500 0.188 0.991
0.500 0.812 0.009
0.812 0.500 0.509

10.
TmZrAl2Ag4, relaxed, DFT PBE; symmetry = P-6m2; raw total energy = -4.228 eV/atom
1.0
4.540 0.000 0.000
-2.270 3.931 0.000
0.000 0.000 8.738
Tm Zr Al Ag
1 1 2 4
Direct
0.000 0.000 0.000
0.333 0.667 0.500
0.667 0.333 0.313
0.667 0.333 0.687
0.000 0.000 0.335
0.000 0.000 0.665
0.333 0.667 0.165
0.333 0.667 0.835

11.
CdRePO, relaxed, DFT PBE; symmetry = P4/nmm; energy above the lowest structure with this stoichiometry = 766 meV per atom
1.0
3.496 0.000 0.000
0.000 3.496 0.000
0.000 0.000 9.907
Cd Re P O
2 2 2 2
Direct
0.250 0.750 0.000
0.750 0.250 0.000
0.250 0.250 0.374
0.750 0.750 0.626
0.250 0.250 0.736
0.750 0.750 0.264
0.250 0.750 0.500
0.750 0.250 0.500

12.
Co11Re2, relaxed, DFT PBE; symmetry = R-3m; calculated formation energy = 125 kJ/mol of formula units; energy above the lowest structure with this stoichiometry = 1 meV per atom
1.0
2.294 1.324 8.251
-2.294 1.324 8.251
0.000 -2.649 8.251
Co Re
11 2
Direct
0.000 0.000 0.000
0.093 0.093 0.585
0.093 0.585 0.093
0.349 0.349 0.349
0.415 0.907 0.907
0.453 0.453 0.453
0.547 0.547 0.547
0.585 0.093 0.093
0.651 0.651 0.651
0.907 0.415 0.907
0.907 0.907 0.415
0.165 0.165 0.165
0.835 0.835 0.835

13.
Y2NbCo, relaxed, DFT PBE; symmetry = F-43m; calculated formation energy = 189 kJ/mol of formula units
1.0
0.000 3.441 3.441
3.441 0.000 3.441
3.441 3.441 0.000
Y Nb Co
2 1 1
Direct
0.000 0.000 0.000
0.250 0.250 0.250
0.500 0.500 0.500
0.750 0.750 0.750

14.
MgScHg2, relaxed, DFT PBE; symmetry = Ama2; raw total energy = -2.388 eV/atom
1.0
4.912 0.000 0.000
0.000 5.714 3.033
0.000 -5.714 3.033
Mg Sc Hg
2 2 4
Direct
0.250 0.075 0.925
0.750 0.925 0.075
0.250 0.543 0.901
0.750 0.901 0.543
0.250 0.050 0.379
0.250 0.591 0.428
0.750 0.379 0.050
0.750 0.428 0.591

15.
PaTlGa, relaxed, DFT PBE; symmetry = F-43m; energy above the lowest structure with this stoichiometry = 153 meV per atom
1.0
0.000 3.527 3.527
3.527 0.000 3.527
3.527 3.527 0.000
Pa Tl Ga
1 1 1
Direct
0.000 0.000 0.000
0.250 0.250 0.250
0.750 0.750 0.750

16.
HfZnAu2, relaxed, DFT PBE; symmetry = F-43m; calculated formation energy = -127 kJ/mol of formula units
1.0
0.000 3.278 3.278
3.278 0.000 3.278
3.278 3.278 0.000
Hf Zn Au
1 1 2
Direct
0.000 0.000 0.000
0.250 0.250 0.250
0.500 0.500 0.500
0.750 0.750 0.750

17.
GdBiSb, relaxed, DFT PBE; symmetry = F-43m; energy above the lowest structure with this stoichiometry = 0 meV per atom
1.0
0.000 3.712 3.712
3.712 0.000 3.712
3.712 3.712 0.000
Gd Bi Sb
1 1 1
Direct
0.000 0.000 0.000
0.750 0.750 0.750
0.250 0.250 0.250

18.
ZrBePd, relaxed, DFT PBE; symmetry = I4mm; energy above the lowest structure with this stoichiometry = 129 meV per atom
1.0
-1.519 1.519 4.939
1.519 -1.519 4.939
1.519 1.519 -4.939
Zr Be Pd
1 1 1
Direct
0.000 0.000 0.000
0.310 0.310 0.000
0.704 0.704 0.000

19.
PmAlGa, relaxed, DFT PBE; symmetry = F-43m; energy above the lowest structure with this stoichiometry = 455 meV per atom
1.0
0.000 3.451 3.451
3.451 0.000 3.451
3.451 3.451 0.000
Pm Al Ga
1 1 1
Direct
0.000 0.000 0.000
0.750 0.750 0.750
0.250 0.250 0.250

20.
Ba2LaOsSe6, relaxed, DFT PBE; symmetry = C2/m; raw total energy = -5.248 eV/atom
1.0
6.426 -3.677 0.000
6.426 3.677 0.000
-4.432 0.000 6.310
Ba La Os Se
2 1 1 6
Direct
0.246 0.246 0.239
0.754 0.754 0.761
0.000 0.000 0.500
0.500 0.500 0.000
0.219 0.694 0.185
0.270 0.270 0.691
0.306 0.781 0.815
0.694 0.219 0.185
0.730 0.730 0.309
0.781 0.306 0.815

21.
HoAlInNi, relaxed, DFT PBE; symmetry = C2/m; energy above the lowest structure with this stoichiometry = 0 meV per atom
1.0
5.127 -2.077 0.000
5.127 2.077 0.000
-0.075 0.000 7.143
Ho Al In Ni
2 2 2 2
Direct
0.065 0.065 0.268
0.935 0.935 0.732
0.347 0.347 0.447
0.653 0.653 0.553
0.355 0.355 0.051
0.645 0.645 0.949
0.215 0.215 0.727
0.785 0.785 0.273

22.
HfZn, relaxed, DFT PBE; symmetry = Pnma; calculated formation energy = -32 kJ/mol of formula units
1.0
5.860 0.000 0.000
0.000 4.414 0.000
0.000 0.000 5.615
Hf Zn
4 4
Direct
0.144 0.250 0.132
0.356 0.750 0.632
0.644 0.250 0.368
0.856 0.750 0.868
0.072 0.250 0.630
0.428 0.750 0.130
0.572 0.250 0.870
0.928 0.750 0.370

23.
CoReAgSn, relaxed, DFT PBE; symmetry = F-43m; energy above the lowest structure with this stoichiometry = 0 meV per atom
1.0
0.000 3.175 3.175
3.175 0.000 3.175
3.175 3.175 0.000
Co Re Ag Sn
1 1 1 1
Direct
0.000 0.000 0.000
0.500 0.500 0.500
0.250 0.250 0.250
0.750 0.750 0.750

24.
NdCd, relaxed, DFT PBE; symmetry = F-43m; calculated formation energy = 125 kJ/mol of formula units
1.0
0.000 3.465 3.465
3.465 0.000 3.465
3.465 3.465 0.000
Nd Cd
1 1
Direct
0.000 0.000 0.000
0.250 0.250 0.250

25.
Li2Ta2Al2IrOs, relaxed, DFT PBE; symmetry = P-4m2; raw total energy = -7.418 eV/atom
1.0
4.356 0.000 0.000
0.000 4.356 0.000
0.000 0.000 6.159
Li Ta Al Ir Os
2 2 2 1 1
Direct
0.000 0.000 0.000
0.500 0.500 0.500
0.000 0.500 0.749
0.500 0.000 0.251
0.000 0.500 0.254
0.500 0.000 0.746
0.500 0.500 0.000
0.000 0.000 0.500